Entry 1:
First-principles (PBE) data for K2CdP after structural relaxation, as listed in Alexandria via LeMat-Bulk.

Calculated values
relative energy among the computed polymorphs: 459.0 meV/atom
space-group type: No. 122

Cell lengths 4.923, 4.923, 11.531 Å; angles 77.67, 77.67, 90.00 degrees
Element x y z (fractional)
P 0.500 0.500 0.000
P 0.250 0.750 0.500
K 0.603 0.125 0.250
K 0.147 0.625 0.250
K 0.375 0.397 0.750
K 0.875 0.853 0.750
Cd 0.000 0.000 0.000
Cd 0.750 0.250 0.500

---

Entry 2:
First-principles (PBE) data for NdSm4Er2 after structural relaxation, as listed in Alexandria via LeMat-Bulk.

Calculated values
relative energy among the computed polymorphs: 67.5 meV/atom
space-group type: No. 11

Cell lengths 6.182, 6.618, 11.752 Å; angles 90.00, 106.04, 90.00 degrees
Element x y z (fractional)
Nd 0.168 0.750 0.150
Nd 0.832 0.250 0.850
Sm 0.646 0.498 0.288
Sm 0.005 0.750 0.849
Sm 0.995 0.250 0.151
Sm 0.646 0.002 0.288
Sm 0.856 0.250 0.562
Sm 0.354 0.998 0.712
Sm 0.354 0.502 0.712
Sm 0.144 0.750 0.438
Er 0.601 0.750 0.000
Er 0.399 0.250 0.000
Er 0.294 0.250 0.439
Er 0.706 0.750 0.561

---

Record order is preserved below.
Raw total energy: -1.85, -4.56 eV/atom
Record order is preserved below.
Formation energy: 0.280, 0.124 eV per atom
Record order is preserved below.
D(E_F): 3.48, 21.51 states/eV/cell